## Ca3Zn4Pd4 (PBE)

Data for a relaxed structure of Ca3Zn4Pd4.

CIF file:
```
data_Ca3Zn4Pd4
_chemical_formula_sum 'Ca6 Zn8 Pd8'
_symmetry_space_group_name_H-M 'I -4 3 m'
_symmetry_Int_Tables_number 217
_symmetry_space_group_name_Hall 'I -4 2 3'
_cell_length_a 7.7336
_cell_length_b 7.7336
_cell_length_c 7.7336
_cell_angle_alpha 90.00
_cell_angle_beta 90.00
_cell_angle_gamma 90.00
loop_
_atom_site_label
_atom_site_type_symbol
_atom_site_fract_x
_atom_site_fract_y
_atom_site_fract_z
Ca1 Ca 0.0000 0.0000 0.5000
Zn1 Zn 0.1222 0.1222 0.8778
Pd1 Pd 0.1960 0.1960 0.1960
```

Output
Fermi-level density of states ... 0.519 states/eV per atom
Energy of formation from the pure elements ... -0.5021 eV per atom
Calculated density ... 5.8 Mg/m³
Energy relative to the lowest polymorph listed for this composition ... 54 meV/atom
Total energy ... -3.400 eV per atom